First-principles (PBE) data for an optimized crystal structure of K3I2Cl, as listed in the Alexandria database.

Structure (extended XYZ):
```
6
Lattice="-2.395 3.493 7.432 2.395 -3.493 7.432 2.395 3.493 -7.432" Properties=species:S:1:pos:R:3 pbc="T T T"
K 0.000 0.000 0.000
K 0.000 0.000 5.242
K 0.000 0.000 9.622
I 2.395 0.000 2.539
I 0.000 3.493 4.893
Cl 0.000 3.493 0.000
```

Summary:
As for the electronic total energy: -3.00 eV/atom. As for the excess energy over the best structure of this formula in the dataset: 0.000 eV per formula unit. Its energy relative to the elements, uncorrected is -1.62 eV/atom. Its space-group type is No. 71.



First-principles (PBE) data for an optimized crystal structure of CsSrAgO2, as listed in the Alexandria database.

Structure (extended XYZ):
```
10
Lattice="3.573 -6.820 0.000 3.573 6.820 0.000 0.000 0.000 5.404" Properties=species:S:1:pos:R:3 pbc="T T T"
Cs 3.573 3.410 4.147
Cs 3.573 -3.410 1.257
Sr 1.787 0.000 2.702
Sr 5.360 0.000 2.702
Ag 0.000 0.000 0.000
Ag 3.573 0.000 0.000
O 3.573 5.533 1.618
O 3.573 1.286 1.618
O 3.573 -1.286 3.786
O 3.573 -5.533 3.786
```

Summary:
As for the electronic total energy: -4.44 eV/atom. Its energy relative to the elements, uncorrected is -1.38 eV/atom. Its space-group type is No. 67.



First-principles (PBE) data for an optimized crystal structure of BeTlCu, as listed in the Alexandria database.

Structure (extended XYZ):
```
3
Lattice="3.094 0.000 0.000 -1.547 2.680 0.000 0.000 0.000 6.109" Properties=species:S:1:pos:R:3 pbc="T T T"
Be 0.000 0.000 0.000
Tl 0.000 1.786 3.855
Cu 1.547 0.893 1.444
```

Summary:
As for the electronic total energy: -2.86 eV/atom. As for the excess energy over the best structure of this formula in the dataset: 0.392 eV per formula unit. Its space-group type is No. 156. The formation energy is 0.54 eV per atom.



First-principles (PBE) data for an optimized crystal structure of Ca4Pr9In11, as listed in the Alexandria database.

Structure (extended XYZ):
```
24
Lattice="9.163 -11.307 0.000 9.163 11.307 0.000 0.000 0.000 3.449" Properties=species:S:1:pos:R:3 pbc="T T T"
Ca 2.847 2.013 0.000
Ca 2.847 -2.013 0.000
Ca 15.479 2.013 0.000
Ca 15.479 -2.013 0.000
Pr 0.000 0.000 0.000
Pr 7.111 5.835 0.000
Pr 6.879 1.967 0.000
Pr 11.215 5.835 0.000
Pr 6.879 -1.967 0.000
Pr 11.447 1.967 0.000
Pr 7.111 -5.835 0.000
Pr 11.447 -1.967 0.000
Pr 11.215 -5.835 0.000
In 4.708 4.106 1.725
In 9.163 8.264 1.725
In 4.765 0.000 1.725
In 9.163 3.703 1.725
In 4.708 -4.106 1.725
In 9.163 0.000 1.725
In 13.618 4.106 1.725
In 9.163 -3.703 1.725
In 13.561 0.000 1.725
In 9.163 -8.264 1.725
In 13.618 -4.106 1.725
```

Summary:
As for the electronic total energy: -3.79 eV/atom. Its space-group type is No. 65. The formation energy is -0.40 eV per atom.



First-principles (PBE) data for an optimized crystal structure of LaDyCd6, as listed in the Alexandria database.

Structure (extended XYZ):
```
8
Lattice="5.189 0.000 0.000 0.000 7.228 0.000 0.000 0.000 5.190" Properties=species:S:1:pos:R:3 pbc="T T T"
La 0.000 0.000 0.000
Dy 2.595 3.614 2.590
Cd 0.000 1.889 2.596
Cd 0.000 3.614 0.001
Cd 0.000 5.339 2.596
Cd 2.595 0.000 2.591
Cd 2.595 1.889 5.185
Cd 2.595 5.339 5.185
```

Summary:
As for the electronic total energy: -2.17 eV/atom. As for the excess energy over the best structure of this formula in the dataset: 0.000 eV per formula unit. Its space-group type is No. 25. The formation energy is -0.29 eV per atom.



First-principles (PBE) data for an optimized crystal structure of Hf2AlZnCr, as listed in the Alexandria database.

Structure (extended XYZ):
```
5
Lattice="4.883 0.000 0.000 0.000 4.883 0.000 0.000 0.000 4.527" Properties=species:S:1:pos:R:3 pbc="T T T"
Hf 0.000 2.441 0.000
Hf 2.441 0.000 0.000
Al 0.000 0.000 2.263
Zn 2.441 2.441 0.000
Cr 2.441 2.441 2.263
```

Summary:
As for the electronic total energy: -6.17 eV/atom. Its space-group type is No. 123. The formation energy is 0.74 eV per atom.



First-principles (PBE) data for an optimized crystal structure of Pu2NbRhN5, as listed in the Alexandria database.

Structure (extended XYZ):
```
18
Lattice="1.614 -6.462 0.000 1.614 6.462 0.000 0.000 0.000 10.361" Properties=species:S:1:pos:R:3 pbc="T T T"
Pu 1.614 5.150 5.180
Pu 1.614 4.565 1.217
Pu 1.614 -4.565 6.397
Pu 1.614 -5.150 0.000
Nb 1.614 3.807 8.578
Nb 1.614 -3.807 3.398
Rh 1.614 0.328 2.824
Rh 1.614 -0.328 8.004
N 1.614 5.764 9.288
N 1.614 2.865 4.878
N 1.614 2.331 1.920
N 1.614 1.745 8.378
N 1.614 0.201 6.072
N 1.614 -0.201 0.892
N 1.614 -1.745 3.197
N 1.614 -2.331 7.100
N 1.614 -2.865 10.058
N 1.614 -5.764 4.108
```

Summary:
As for the electronic total energy: -10.51 eV/atom. Its energy relative to the elements, uncorrected is -0.76 eV/atom. Its space-group type is No. 36.



First-principles (PBE) data for an optimized crystal structure of CrCuMo2, as listed in the Alexandria database.

Structure (extended XYZ):
```
4
Lattice="2.601 0.000 0.000 0.000 4.359 0.000 -0.738 0.000 4.941" Properties=species:S:1:pos:R:3 pbc="T T T"
Cr 0.000 0.000 0.000
Cu 2.089 2.180 1.318
Mo 0.122 2.180 3.872
Mo 0.954 0.000 2.458
```

Summary:
As for the electronic total energy: -8.61 eV/atom. As for the excess energy over the best structure of this formula in the dataset: 0.244 eV per formula unit. Its space-group type is No. 6. The formation energy is 0.23 eV per atom.



First-principles (PBE) data for an optimized crystal structure of RhSeS2Cl, as listed in the Alexandria database.

Structure (extended XYZ):
```
5
Lattice="4.875 0.000 0.000 0.000 4.875 0.000 0.000 0.000 4.724" Properties=species:S:1:pos:R:3 pbc="T T T"
Rh 0.000 0.000 0.000
Se 2.438 2.438 2.362
S 0.000 2.438 2.362
S 2.438 0.000 2.362
Cl 2.438 2.438 0.000
```

Summary:
As for the electronic total energy: -3.21 eV/atom. As for the excess energy over the best structure of this formula in the dataset: 2.698 eV per formula unit. Its energy relative to the elements, uncorrected is 0.97 eV/atom. Its space-group type is No. 123.



First-principles (PBE) data for an optimized crystal structure of Zr3ScTl, as listed in the Alexandria database.

Structure (extended XYZ):
```
5
Lattice="5.353 0.000 0.000 0.000 5.353 0.000 0.000 0.000 5.353" Properties=species:S:1:pos:R:3 pbc="T T T"
Zr 0.000 0.000 2.676
Zr 0.000 2.676 0.000
Zr 2.676 0.000 0.000
Sc 2.676 2.676 2.676
Tl 0.000 0.000 0.000
```

Summary:
As for the electronic total energy: -5.81 eV/atom. As for the excess energy over the best structure of this formula in the dataset: 0.300 eV per formula unit. Its space-group type is No. 221. The formation energy is 1.06 eV per atom.



First-principles (PBE) data for an optimized crystal structure of MgTi2TlH, as listed in the Alexandria database.

Structure (extended XYZ):
```
5
Lattice="4.089 0.000 0.000 0.000 4.089 0.000 0.000 0.000 4.568" Properties=species:S:1:pos:R:3 pbc="T T T"
Mg 0.000 0.000 0.000
Ti 0.000 2.045 2.284
Ti 2.045 0.000 2.284
Tl 2.045 2.045 0.000
H 0.000 0.000 2.284
```

Summary:
As for the electronic total energy: -4.72 eV/atom. Its space-group type is No. 123.



First-principles (PBE) data for an optimized crystal structure of Ba2Hg4Bi3Pb, as listed in the Alexandria database.

Structure (extended XYZ):
```
10
Lattice="4.953 0.000 0.000 0.000 4.953 0.000 0.000 0.000 13.929" Properties=species:S:1:pos:R:3 pbc="T T T"
Ba 0.000 2.476 3.391
Ba 2.476 0.000 10.538
Hg 0.000 0.000 0.000
Hg 0.000 2.476 8.966
Hg 2.476 0.000 4.963
Hg 2.476 2.476 0.000
Bi 0.000 2.476 11.945
Bi 2.476 0.000 1.984
Bi 2.476 2.476 6.965
Pb 0.000 0.000 6.965
```

Summary:
As for the electronic total energy: -2.38 eV/atom. Its space-group type is No. 115. The formation energy is -0.34 eV per atom.